<A>
The following is a GGA-PBE calculation of crystalline InPt3Au at its relaxed geometry, from Alexandria via LeMat-Bulk.

```
data_InPt3Au
_space_group_name_H-M_alt 'C m c m'
_space_group_IT_number 63
_space_group_name_Hall '-C 2c 2'
_cell_length_a 7.368
_cell_length_b 9.859
_cell_length_c 5.435
_cell_angle_alpha 90.00
_cell_angle_beta 90.00
_cell_angle_gamma 90.00
loop_
_atom_site_label
_atom_site_type_symbol
_atom_site_fract_x
_atom_site_fract_y
_atom_site_fract_z
In1 In 0.000 0.224 0.250
Pt1 Pt 0.000 0.258 0.750
Pt2 Pt 0.180 0.020 0.750
Au1 Au 0.000 0.500 0.000
```

Results
Size of the total moment in μB per cell: 0.00
N(E_F) in states/eV per atom: 0.7861
Calculated density in g cm⁻³: 15.09

<B>
The following is a GGA-PBE calculation of crystalline InPt3Au at its relaxed geometry, from Alexandria via LeMat-Bulk.

```
data_InPt3Au
_space_group_name_H-M_alt 'P m -3 m'
_space_group_IT_number 221
_space_group_name_Hall '-P 4 2 3'
_cell_length_a 4.924
_cell_length_b 4.924
_cell_length_c 4.924
_cell_angle_alpha 90.00
_cell_angle_beta 90.00
_cell_angle_gamma 90.00
loop_
_atom_site_label
_atom_site_type_symbol
_atom_site_fract_x
_atom_site_fract_y
_atom_site_fract_z
In1 In 0.000 0.000 0.000
Pt1 Pt 0.000 0.000 0.500
Au1 Au 0.500 0.500 0.500
```

Results
Size of the total moment in μB per cell: 0.00
N(E_F) in states/eV per atom: 0.2624
Calculated density in g cm⁻³: 12.48

Verdict on stability: <B> comes out at the bottom.

<A>
The following is a GGA-PBE calculation of crystalline InPtAu3 at its relaxed geometry, from Alexandria via LeMat-Bulk.

```
data_InPtAu3
_space_group_name_H-M_alt 'P m -3 m'
_space_group_IT_number 221
_space_group_name_Hall '-P 4 2 3'
_cell_length_a 5.128
_cell_length_b 5.128
_cell_length_c 5.128
_cell_angle_alpha 90.00
_cell_angle_beta 90.00
_cell_angle_gamma 90.00
loop_
_atom_site_label
_atom_site_type_symbol
_atom_site_fract_x
_atom_site_fract_y
_atom_site_fract_z
In1 In 0.000 0.000 0.000
Pt1 Pt 0.500 0.500 0.500
Au1 Au 0.000 0.500 0.500
```

Results
Size of the total moment in μB per cell: 0.00
N(E_F) in states/eV per atom: 0.6183
Calculated density in g cm⁻³: 11.09

<B>
The following is a GGA-PBE calculation of crystalline InPtAu3 at its relaxed geometry, from Alexandria via LeMat-Bulk.

```
data_InPtAu3
_space_group_name_H-M_alt 'P m -3 m'
_space_group_IT_number 221
_space_group_name_Hall '-P 4 2 3'
_cell_length_a 5.059
_cell_length_b 5.059
_cell_length_c 5.059
_cell_angle_alpha 90.00
_cell_angle_beta 90.00
_cell_angle_gamma 90.00
loop_
_atom_site_label
_atom_site_type_symbol
_atom_site_fract_x
_atom_site_fract_y
_atom_site_fract_z
In1 In 0.000 0.000 0.000
Pt1 Pt 0.500 0.500 0.500
Au1 Au 0.000 0.000 0.500
```

Results
Size of the total moment in μB per cell: 0.00
N(E_F) in states/eV per atom: 0.6910
Calculated density in g cm⁻³: 11.55

Verdict on stability: <B> comes out at the bottom.

<A>
The following is a GGA-PBE calculation of crystalline InPtAu at its relaxed geometry, from Alexandria via LeMat-Bulk.

```
data_InPtAu
_space_group_name_H-M_alt 'F -4 3 m'
_space_group_IT_number 216
_space_group_name_Hall 'F -4 2 3'
_cell_length_a 6.366
_cell_length_b 6.366
_cell_length_c 6.366
_cell_angle_alpha 90.00
_cell_angle_beta 90.00
_cell_angle_gamma 90.00
loop_
_atom_site_label
_atom_site_type_symbol
_atom_site_fract_x
_atom_site_fract_y
_atom_site_fract_z
In1 In 0.000 0.000 0.000
Pt1 Pt 0.250 0.250 0.250
Au1 Au 0.000 0.000 0.500
```

Results
Size of the total moment in μB per cell: 0.00
N(E_F) in states/eV per atom: 0.3493
Calculated density in g cm⁻³: 13.05

<B>
The following is a GGA-PBE calculation of crystalline InPtAu at its relaxed geometry, from Alexandria via LeMat-Bulk.

```
data_InPtAu
_space_group_name_H-M_alt 'I 4 m m'
_space_group_IT_number 107
_space_group_name_Hall 'I 4 -2'
_cell_length_a 3.575
_cell_length_b 3.575
_cell_length_c 8.660
_cell_angle_alpha 90.00
_cell_angle_beta 90.00
_cell_angle_gamma 90.00
loop_
_atom_site_label
_atom_site_type_symbol
_atom_site_fract_x
_atom_site_fract_y
_atom_site_fract_z
In1 In 0.000 0.000 0.000
Pt1 Pt 0.000 0.000 0.660
Au1 Au 0.000 0.000 0.330
```

Results
Size of the total moment in μB per cell: 0.00
N(E_F) in states/eV per atom: 0.4479
Calculated density in g cm⁻³: 15.21

Verdict on stability: <B> comes out at the bottom.

<A>
The following is a GGA-PBE calculation of crystalline InPtAu at its relaxed geometry, from Alexandria via LeMat-Bulk.

```
data_InPtAu
_space_group_name_H-M_alt 'P 3 m 1'
_space_group_IT_number 156
_cell_length_a 4.5838
_cell_length_b 4.5838
_cell_length_c 3.0290
_cell_angle_alpha 90.00
_cell_angle_beta 90.00
_cell_angle_gamma 120.00
loop_
_space_group_symop_operation_xyz
'x,y,z'
'-y,x-y,z'
'-x+y,-x,z'
'-y,-x,z'
'-x+y,y,z'
'x,x-y,z'
loop_
_atom_site_label
_atom_site_type_symbol
_atom_site_fract_x
_atom_site_fract_y
_atom_site_fract_z
In1 In 0.0000 0.0000 0.0000
Pt1 Pt 0.6667 0.3333 0.2521
Au1 Au 0.3333 0.6667 0.6531
```

Results
Size of the total moment in μB per cell: 0.00
N(E_F) in states/eV per atom: 0.4731
Calculated density in g cm⁻³: 15.27

<B>
The following is a GGA-PBE calculation of crystalline InPtAu at its relaxed geometry, from Alexandria via LeMat-Bulk.

```
data_InPtAu
_space_group_name_H-M_alt 'P m c 21'
_space_group_IT_number 26
_cell_length_a 5.813
_cell_length_b 4.721
_cell_length_c 9.463
_cell_angle_alpha 90.00
_cell_angle_beta 90.00
_cell_angle_gamma 90.00
loop_
_space_group_symop_operation_xyz
'x,y,z'
'-x,-y,z+1/2'
'-x,y,z'
'x,-y,z+1/2'
loop_
_atom_site_label
_atom_site_type_symbol
_atom_site_fract_x
_atom_site_fract_y
_atom_site_fract_z
In1 In 0.000 0.006 0.000
In2 In 0.500 0.494 0.253
Pt1 Pt 0.250 0.493 0.502
Au1 Au 0.000 0.468 0.752
Au2 Au 0.500 0.006 0.030
```

Results
Size of the total moment in μB per cell: 0.00
N(E_F) in states/eV per atom: 0.2329
Calculated density in g cm⁻³: 12.96

Verdict on stability: <A> comes out at the bottom.

<A>
The following is a GGA-PBE calculation of crystalline In2Pt3Au at its relaxed geometry, from Alexandria via LeMat-Bulk.

```
data_In2Pt3Au
_space_group_name_H-M_alt 'I b a m'
_space_group_IT_number 72
_space_group_name_Hall '-I 2 2c'
_cell_length_a 7.086
_cell_length_b 12.863
_cell_length_c 5.577
_cell_angle_alpha 90.00
_cell_angle_beta 90.00
_cell_angle_gamma 90.00
loop_
_atom_site_label
_atom_site_type_symbol
_atom_site_fract_x
_atom_site_fract_y
_atom_site_fract_z
In1 In 0.168 0.155 0.000
Pt1 Pt 0.000 0.000 0.250
Pt2 Pt 0.000 0.313 0.250
Au1 Au 0.000 0.500 0.000
```

Results
Size of the total moment in μB per cell: 0.00
N(E_F) in states/eV per atom: 0.4549
Calculated density in g cm⁻³: 13.22

<B>
The following is a GGA-PBE calculation of crystalline In2Pt3Au at its relaxed geometry, from Alexandria via LeMat-Bulk.

```
data_In2Pt3Au
_space_group_name_H-M_alt 'F d d d'
_space_group_IT_number 70
_cell_length_a 10.668
_cell_length_b 10.922
_cell_length_c 16.641
_cell_angle_alpha 90.00
_cell_angle_beta 90.00
_cell_angle_gamma 90.00
loop_
_space_group_symop_operation_xyz
'x,y,z'
'-x,-y,-z'
'-x+1/4,-y+1/4,z'
'x+1/4,y+1/4,-z'
'x,-y+1/4,-z+1/4'
'-x,y+1/4,z+1/4'
'-x+1/4,y,-z+1/4'
'x+1/4,-y,z+1/4'
'x,y+1/2,z+1/2'
'-x,-y+1/2,-z+1/2'
'-x+1/4,-y+3/4,z+1/2'
'x+1/4,y+3/4,-z+1/2'
'x,-y+3/4,-z+3/4'
'-x,y+3/4,z+3/4'
'-x+1/4,y+1/2,-z+3/4'
'x+1/4,-y+1/2,z+3/4'
'x+1/2,y,z+1/2'
'-x+1/2,-y,-z+1/2'
'-x+3/4,-y+1/4,z+1/2'
'x+3/4,y+1/4,-z+1/2'
'x+1/2,-y+1/4,-z+3/4'
'-x+1/2,y+1/4,z+3/4'
'-x+3/4,y,-z+3/4'
'x+3/4,-y,z+3/4'
'x+1/2,y+1/2,z'
'-x+1/2,-y+1/2,-z'
'-x+3/4,-y+3/4,z'
'x+3/4,y+3/4,-z'
'x+1/2,-y+3/4,-z+1/4'
'-x+1/2,y+3/4,z+1/4'
'-x+3/4,y+1/2,-z+1/4'
'x+3/4,-y+1/2,z+1/4'
loop_
_atom_site_label
_atom_site_type_symbol
_atom_site_fract_x
_atom_site_fract_y
_atom_site_fract_z
In1 In 0.001 0.007 0.271
Pt1 Pt 0.000 0.000 0.500
Pt2 Pt 0.088 0.375 0.375
Pt3 Pt 0.125 0.125 0.385
Au1 Au 0.125 0.286 0.125
```

Results
Size of the total moment in μB per cell: 0.00
N(E_F) in states/eV per atom: 0.4304
Calculated density in g cm⁻³: 13.86

Verdict on stability: <A> comes out at the bottom.